[1]
GGA-PBE Pr12AlGa5, optimized geometry; formation energy = -7.9 kcal/mol of atoms
1.0
-8.911 -0.494 0.384
3.747 -7.489 3.109
3.169 6.609 5.106
Pr Ga Al
12 5 1
direct
0.551 0.822 0.728
0.803 0.049 0.245
0.803 0.558 0.755
0.291 0.674 0.965
0.709 0.674 0.383
0.449 0.178 0.272
0.906 0.178 0.728
0.197 0.951 0.755
0.291 0.326 0.617
0.197 0.442 0.245
0.709 0.326 0.035
0.094 0.822 0.272
0.000 0.000 0.000
0.500 0.121 0.621
0.356 0.356 0.000
0.644 0.644 0.000
0.500 0.879 0.379
0.000 0.500 0.500

=====

[2]
GGA-PBE Pr2AlGa, optimized geometry; formation energy = -5.0 kcal/mol of atoms
1.0
-0.385 -3.752 -0.690
-0.339 -2.461 2.920
-9.301 -1.098 0.510
Al Ga Pr
1 1 2
direct
0.500 0.500 0.500
0.000 0.000 0.000
0.749 0.749 0.754
0.251 0.251 0.246